[1]
Crystalline AuN3F12 at its relaxed geometry. Source: the Alexandria database, functional GGA-PBE.

POSCAR file:
```
AuN3F12
1.0
6.764 0.000 3.266
2.593 6.247 3.266
-2.057 -1.374 12.897
Au N F
2 6 24
Cartesian
-0.778 -0.520 10.249
4.929 3.290 7.066
5.591 2.214 3.435
1.435 2.139 8.571
5.245 0.505 9.884
4.867 5.949 4.290
8.233 4.315 5.388
4.247 4.650 10.738
1.343 0.366 1.740
1.138 -0.354 9.922
5.581 -0.392 8.934
-0.591 0.407 11.951
4.028 1.596 7.398
1.272 -0.834 13.878
6.391 2.362 6.168
0.812 2.976 7.717
3.940 0.267 10.128
5.689 1.187 12.616
5.857 3.108 8.768
1.452 2.803 9.745
-0.054 2.045 14.165
4.871 1.100 3.680
2.115 4.033 14.426
3.993 3.456 5.362
5.817 4.997 6.740
2.835 1.494 15.383
4.503 3.537 11.454
4.075 -0.702 13.846
3.479 4.218 7.978
2.089 4.077 3.296
1.609 4.799 11.811
5.425 5.304 10.695
```

**Symmetry**: R3c, No. 161
**Mass density**: 2.56 g cm⁻³
**E_form (uncorrected)**: -0.436 eV per atom
**Electronic total energy**: -3.606 eV per atom
**Total magnetic moment**: 4.00 Bohr magnetons per cell

---

[2]
Crystalline AuN3F at its relaxed geometry. Source: the Alexandria database, functional GGA-PBE.

POSCAR file:
```
AuN3F
1.0
-1.401 3.126 -2.210
-3.809 -1.377 0.466
-0.389 2.225 3.394
N Au F
3 1 1
Cartesian
-1.904 -0.689 0.233
-0.195 1.113 1.697
-0.700 1.563 -1.105
0.000 0.000 0.000
-2.800 1.987 0.825
```

**Symmetry**: Pm-3m, No. 221
**Mass density**: 6.32 g cm⁻³
**E_form (uncorrected)**: 2.344 eV per atom
**Electronic total energy**: -3.681 eV per atom
**Total magnetic moment**: 6.22 Bohr magnetons per cell

---

[3]
Crystalline Au2N2F3 at its relaxed geometry. Source: the Alexandria database, functional GGA-PBE.

POSCAR file:
```
Au2N2F3
1.0
-2.639 -1.026 0.921
7.492 -6.300 -9.153
-1.459 6.365 10.565
Au N F
2 2 3
Cartesian
0.570 0.547 1.941
2.825 -1.508 0.392
0.753 3.213 6.401
2.642 -4.174 -4.068
2.233 -1.628 -1.528
0.000 0.000 0.000
1.162 0.667 3.861
```

**Symmetry**: P-1, No. 2
**Mass density**: 6.37 g cm⁻³
**E_form (uncorrected)**: -0.437 eV per atom
**Electronic total energy**: -4.554 eV per atom
**Total magnetic moment**: 0.00 Bohr magnetons per cell

---

[4]
Crystalline AuNF at its relaxed geometry. Source: the Alexandria database, functional GGA-PBE.

POSCAR file:
```
AuNF
1.0
-0.326 -4.186 -0.168
5.086 -0.501 2.689
-4.599 3.649 3.318
F Au N
2 2 2
Cartesian
1.894 0.349 3.466
-1.586 2.005 4.161
1.655 -1.756 3.527
-1.054 -1.133 2.567
-0.205 -0.107 1.148
-0.041 -3.720 0.152
```

**Symmetry**: P1, No. 1
**Mass density**: 6.19 g cm⁻³
**E_form (uncorrected)**: -0.314 eV per atom
**Electronic total energy**: -4.805 eV per atom
**Total magnetic moment**: 0.00 Bohr magnetons per cell

---

[5]
Crystalline NbAuNF2 at its relaxed geometry. Source: the Alexandria database, functional GGA-PBE.

POSCAR file:
```
NbAuNF2
1.0
-2.786 -2.567 -2.467
2.866 -3.475 0.379
-1.820 -1.147 3.248
Nb N Au F
1 1 1 2
Cartesian
-0.870 -3.594 0.580
-0.910 -0.574 1.624
0.000 0.000 0.000
1.433 -1.737 0.189
-1.393 -1.283 -1.234
```

**Symmetry**: P4/mmm, No. 123
**Mass density**: 7.13 g cm⁻³
**E_form (uncorrected)**: 0.562 eV per atom
**Electronic total energy**: -4.521 eV per atom
**ΔE to the lowest computed polymorph**: 1.483 eV/atom
**Total magnetic moment**: 2.49 Bohr magnetons per cell

---

[6]
Crystalline NbAuNF2 at its relaxed geometry. Source: the Alexandria database, functional GGA-PBE.

POSCAR file:
```
NbAuNF2
1.0
4.162 0.000 0.000
0.000 4.162 0.000
0.000 0.000 4.102
Nb N Au F
1 1 1 2
Cartesian
0.000 0.000 0.000
0.000 0.000 2.051
2.081 2.081 2.051
0.000 2.081 0.000
2.081 0.000 0.000
```

**Symmetry**: P4/mmm, No. 123
**Mass density**: 7.99 g cm⁻³
**E_form (uncorrected)**: -0.922 eV per atom
**Electronic total energy**: -6.005 eV per atom
**ΔE to the lowest computed polymorph**: 0.000 eV/atom
**Total magnetic moment**: 0.00 Bohr magnetons per cell